# Pd5Au3S12, optimized geometry, DFT PBE-GGA
data_Pd5Au3S12
_symmetry_space_group_name_H-M 'I a -3 d'
_symmetry_Int_Tables_number 230
_symmetry_space_group_name_Hall '-I 4bd 2c 3'
_cell_length_a 15.0123
_cell_length_b 15.0123
_cell_length_c 15.0123
_cell_angle_alpha 90.00
_cell_angle_beta 90.00
_cell_angle_gamma 90.00
loop_
_atom_site_label
_atom_site_type_symbol
_atom_site_fract_x
_atom_site_fract_y
_atom_site_fract_z
Pd1 Pd 0.0000 0.0000 0.0000
Pd2 Pd 0.0000 0.2500 0.3750
Au1 Au 0.0000 0.2500 0.1250
S1 S 0.0066 0.0369 0.6601
# - Mass density: 5.9 g/cm3
# - Uncorrected formation energy: 0.1456 eV/atom
# - Crystal system: cubic

=====

# NaAc2UO6, optimized geometry, DFT PBE-GGA
data_NaAc2UO6
_symmetry_space_group_name_H-M 'R 3'
_symmetry_Int_Tables_number 146
_symmetry_space_group_name_Hall 'R 3'
_cell_length_a 6.2072
_cell_length_b 6.2072
_cell_length_c 15.3409
_cell_angle_alpha 90.00
_cell_angle_beta 90.00
_cell_angle_gamma 120.00
loop_
_atom_site_label
_atom_site_type_symbol
_atom_site_fract_x
_atom_site_fract_y
_atom_site_fract_z
Na1 Na 0.0000 0.0000 0.0000
Ac1 Ac 0.0000 0.0000 0.2677
Ac2 Ac 0.0000 0.0000 0.7729
U1 U 0.0000 0.0000 0.4914
O1 O 0.9999 0.3895 0.2239
O2 O 0.0791 0.6912 0.0678
# - Mass density: 7.9 g/cm3
# - Uncorrected formation energy: -3.1030 eV/atom
# - Crystal system: trigonal

=====

# CaHg2Cl, optimized geometry, DFT PBE-GGA
data_CaHg2Cl
_symmetry_space_group_name_H-M 'C 1 m 1'
_symmetry_Int_Tables_number 8
_cell_length_a 9.4750
_cell_length_b 3.9416
_cell_length_c 6.7284
_cell_angle_alpha 90.00
_cell_angle_beta 111.02
_cell_angle_gamma 90.00
loop_
_symmetry_equiv_pos_as_xyz
'x,y,z'
'x,-y,z'
'x+1/2,y+1/2,z'
'x+1/2,-y+1/2,z'
loop_
_atom_site_label
_atom_site_type_symbol
_atom_site_fract_x
_atom_site_fract_y
_atom_site_fract_z
Ca1 Ca 0.0000 0.0000 0.0000
Hg1 Hg 0.2050 0.5000 0.3952
Hg2 Hg 0.4688 0.0000 0.5933
Cl1 Cl 0.2950 0.0000 0.9929
# - Mass density: 6.7 g/cm3
# - Uncorrected formation energy: -0.8630 eV/atom
# - Crystal system: monoclinic
# - Energy above the lowest structure with this stoichiometry: 0.02 eV/f.u.

=====

# MnFe2AuC, optimized geometry, DFT PBE-GGA
data_MnFe2AuC
_symmetry_space_group_name_H-M 'P 4/m m m'
_symmetry_Int_Tables_number 123
_symmetry_space_group_name_Hall '-P 4 2'
_cell_length_a 3.8796
_cell_length_b 3.8796
_cell_length_c 4.0017
_cell_angle_alpha 90.00
_cell_angle_beta 90.00
_cell_angle_gamma 90.00
loop_
_atom_site_label
_atom_site_type_symbol
_atom_site_fract_x
_atom_site_fract_y
_atom_site_fract_z
Mn1 Mn 0.0000 0.0000 0.0000
Fe1 Fe 0.0000 0.5000 0.5000
Au1 Au 0.5000 0.5000 0.0000
C1 C 0.0000 0.0000 0.5000
# - ΔH_f (0 K): 0.39 eV/f.u.
# - Mass density: 10.4 g/cm3
# - Crystal system: tetragonal

=====

# CaSm2Dy4, optimized geometry, DFT PBE-GGA
data_CaSm2Dy4
_symmetry_space_group_name_H-M 'R -3 m'
_symmetry_Int_Tables_number 166
_symmetry_space_group_name_Hall '-R 3 2"'
_cell_length_a 3.5945
_cell_length_b 3.5945
_cell_length_c 62.5037
_cell_angle_alpha 90.00
_cell_angle_beta 90.00
_cell_angle_gamma 120.00
loop_
_atom_site_label
_atom_site_type_symbol
_atom_site_fract_x
_atom_site_fract_y
_atom_site_fract_z
Ca1 Ca 0.0000 0.0000 0.0000
Sm1 Sm 0.0000 0.0000 0.4301
Dy1 Dy 0.0000 0.0000 0.1439
Dy2 Dy 0.0000 0.0000 0.2823
# - ΔH_f (0 K): 0.33 eV/f.u.
# - Mass density: 7.1 g/cm3
# - Crystal system: trigonal

=====

# MgAsAu, optimized geometry, DFT PBE-GGA
data_MgAsAu
_symmetry_space_group_name_H-M 'P 1'
_symmetry_Int_Tables_number 1
_cell_length_a 3.9293
_cell_length_b 4.2615
_cell_length_c 7.2258
_cell_angle_alpha 89.08
_cell_angle_beta 74.28
_cell_angle_gamma 89.90
loop_
_symmetry_equiv_pos_as_xyz
'x,y,z'
loop_
_atom_site_label
_atom_site_type_symbol
_atom_site_fract_x
_atom_site_fract_y
_atom_site_fract_z
Mg1 Mg 0.0000 0.0000 0.0000
Mg2 Mg 0.1789 0.5593 0.6394
As1 As 0.5321 0.4636 0.9337
As2 As 0.8246 0.7095 0.3487
Au1 Au 0.3481 0.2196 0.3026
Au2 Au 0.6733 0.0585 0.6509
# - ΔH_f (0 K): -0.81 eV/f.u.
# - Mass density: 8.4 g/cm3
# - Crystal system: triclinic

=====

# InHgSeF2, optimized geometry, DFT PBE-GGA
data_InHgSeF2
_symmetry_space_group_name_H-M 'P 4/m m m'
_symmetry_Int_Tables_number 123
_symmetry_space_group_name_Hall '-P 4 2'
_cell_length_a 4.2769
_cell_length_b 4.2769
_cell_length_c 5.5794
_cell_angle_alpha 90.00
_cell_angle_beta 90.00
_cell_angle_gamma 90.00
loop_
_atom_site_label
_atom_site_type_symbol
_atom_site_fract_x
_atom_site_fract_y
_atom_site_fract_z
In1 In 0.0000 0.0000 0.0000
Hg1 Hg 0.5000 0.5000 0.5000
Se1 Se 0.0000 0.0000 0.5000
F1 F 0.0000 0.5000 0.0000
# - Mass density: 7.0 g/cm3
# - Uncorrected formation energy: -1.3467 eV/atom
# - Crystal system: tetragonal

=====

# Sr3ScSn, optimized geometry, DFT PBE-GGA
data_Sr3ScSn
_symmetry_space_group_name_H-M 'P m -3 m'
_symmetry_Int_Tables_number 221
_symmetry_space_group_name_Hall '-P 4 2 3'
_cell_length_a 6.3278
_cell_length_b 6.3278
_cell_length_c 6.3278
_cell_angle_alpha 90.00
_cell_angle_beta 90.00
_cell_angle_gamma 90.00
loop_
_atom_site_label
_atom_site_type_symbol
_atom_site_fract_x
_atom_site_fract_y
_atom_site_fract_z
Sr1 Sr 0.0000 0.0000 0.5000
Sc1 Sc 0.5000 0.5000 0.5000
Sn1 Sn 0.0000 0.0000 0.0000
# - ΔH_f (0 K): 1.15 eV/f.u.
# - Mass density: 2.8 g/cm3
# - Crystal system: cubic
# - Energy above the lowest structure with this stoichiometry: 0.00 eV/f.u.

=====

# SmTlSb, optimized geometry, DFT PBE-GGA
data_SmTlSb
_symmetry_space_group_name_H-M 'R -3 m'
_symmetry_Int_Tables_number 166
_symmetry_space_group_name_Hall '-R 3 2"'
_cell_length_a 5.3599
_cell_length_b 5.3599
_cell_length_c 25.0125
_cell_angle_alpha 90.00
_cell_angle_beta 90.00
_cell_angle_gamma 120.00
loop_
_atom_site_label
_atom_site_type_symbol
_atom_site_fract_x
_atom_site_fract_y
_atom_site_fract_z
Sm1 Sm 0.0000 0.0000 0.1005
Tl1 Tl 0.0000 0.0000 0.3564
Sb1 Sb 0.0000 0.0000 0.2239
# - Mass density: 7.6 g/cm3
# - Uncorrected formation energy: -0.4478 eV/atom
# - Crystal system: trigonal

=====

# BaSr2, optimized geometry, DFT PBE-GGA
data_BaSr2
_symmetry_space_group_name_H-M 'C 1 2/m 1'
_symmetry_Int_Tables_number 12
_cell_length_a 37.4079
_cell_length_b 6.1340
_cell_length_c 6.1341
_cell_angle_alpha 90.00
_cell_angle_beta 99.32
_cell_angle_gamma 90.00
loop_
_symmetry_equiv_pos_as_xyz
'x,y,z'
'-x,-y,-z'
'-x,y,-z'
'x,-y,z'
'x+1/2,y+1/2,z'
'-x+1/2,-y+1/2,-z'
'-x+1/2,y+1/2,-z'
'x+1/2,-y+1/2,z'
loop_
_atom_site_label
_atom_site_type_symbol
_atom_site_fract_x
_atom_site_fract_y
_atom_site_fract_z
Ba1 Ba 0.0425 0.0000 0.2924
Ba2 Ba 0.2075 0.0000 0.4575
Sr1 Sr 0.0427 0.5000 0.7927
Sr2 Sr 0.1248 0.0000 0.8748
Sr3 Sr 0.1252 0.5000 0.3752
Sr4 Sr 0.2073 0.5000 0.9574
# - ΔH_f (0 K): 0.02 eV/f.u.
# - Mass density: 3.0 g/cm3
# - Crystal system: monoclinic
# - Energy above the lowest structure with this stoichiometry: 0.01 eV/f.u.

=====

# Y3ErO6, optimized geometry, DFT PBE-GGA
data_Y3ErO6
_symmetry_space_group_name_H-M 'R -3'
_symmetry_Int_Tables_number 148
_symmetry_space_group_name_Hall '-R 3'
_cell_length_a 9.6462
_cell_length_b 9.6462
_cell_length_c 11.3281
_cell_angle_alpha 90.00
_cell_angle_beta 90.00
_cell_angle_gamma 120.00
loop_
_atom_site_label
_atom_site_type_symbol
_atom_site_fract_x
_atom_site_fract_y
_atom_site_fract_z
Y1 Y 0.0393 0.2660 0.2092
Er1 Er 0.0000 0.0000 0.0000
Er2 Er 0.0000 0.0000 0.5000
O1 O 0.0267 0.2168 0.4030
O2 O 0.0278 0.1874 0.8721
# - Mass density: 5.8 g/cm3
# - Uncorrected formation energy: -3.5553 eV/atom
# - Crystal system: trigonal
# - Energy above the lowest structure with this stoichiometry: 0.00 eV/f.u.

=====

# La5Sn2Pd, optimized geometry, DFT PBE-GGA
data_La5Sn2Pd
_symmetry_space_group_name_H-M 'P b a m'
_symmetry_Int_Tables_number 55
_cell_length_a 8.2292
_cell_length_b 12.9101
_cell_length_c 4.8637
_cell_angle_alpha 90.00
_cell_angle_beta 90.00
_cell_angle_gamma 90.00
loop_
_symmetry_equiv_pos_as_xyz
'x,y,z'
'-x,-y,-z'
'-x,-y,z'
'x,y,-z'
'x+1/2,-y+1/2,-z'
'-x+1/2,y+1/2,z'
'-x+1/2,y+1/2,-z'
'x+1/2,-y+1/2,z'
loop_
_atom_site_label
_atom_site_type_symbol
_atom_site_fract_x
_atom_site_fract_y
_atom_site_fract_z
La1 La 0.0000 0.0000 0.0000
La2 La 0.1489 0.2873 0.0000
La3 La 0.1867 0.5656 0.5000
Sn1 Sn 0.0744 0.8299 0.5000
Pd1 Pd 0.0000 0.5000 0.0000
# - ΔH_f (0 K): -5.44 eV/f.u.
# - Mass density: 6.7 g/cm3
# - Crystal system: orthorhombic

=====

no.,E (eV/f.u.)
1,-82.41
2,-81.60
3,-7.90
4,-38.21
5,-29.52
6,-10.33
7,-17.00
8,-14.23
9,-12.55
10,-5.27
11,-89.26
12,-43.28